DFT (GGA+U) results for a relaxed Li3FeO4 crystal.

The structure in CIF format:
```
data_Li3FeO4
_chemical_formula_sum 'Li6 Fe2 O8'
_space_group_name_H-M_alt 'C m m m'
_space_group_IT_number 65
_space_group_name_Hall '-C 2 2'
_cell_length_a 5.965
_cell_length_b 8.180
_cell_length_c 2.869
_cell_angle_alpha 90.00
_cell_angle_beta 90.00
_cell_angle_gamma 90.00
loop_
_atom_site_label
_atom_site_type_symbol
_atom_site_fract_x
_atom_site_fract_y
_atom_site_fract_z
Li1 Li 0.000 0.000 0.000
Li2 Li 0.250 0.250 0.500
Fe1 Fe 0.000 0.500 0.000
O1 O 0.000 0.272 0.000
O2 O 0.231 0.500 0.500
```

total moment	2.98	μB/f.u.
uncorrected energy	-5.388	eV/atom
calculated volume	8.7	Å³ per atom
ΔE to the lowest computed polymorph	32.3	meV per atom